Entry 1:
K2TeWN | PBE | optimized geometry

Results
N(E_F) = 0.503 states/eV/atom

abc: 6.7973 6.7973 3.8180
angles: 90.00 90.00 90.00
Sites, in units of the cell vectors:
K 0.0000 0.5000 0.0000
K 0.5000 0.0000 0.0000
Te 0.0000 0.0000 0.5000
W 0.5000 0.5000 0.0000
N 0.5000 0.5000 0.5000

Entry 2:
CeHf2S6 | PBE | optimized geometry

abc: 6.8987 6.8987 8.7346
angles: 122.94 122.94 40.74
Sites, in units of the cell vectors:
Ce 0.0000 0.0000 0.0000
Hf 0.1778 0.1778 0.6086
Hf 0.8222 0.8222 0.3914
S 0.0357 0.0357 0.7105
S 0.2586 0.2586 0.3848
S 0.3632 0.3632 0.9396
S 0.6368 0.6368 0.0604
S 0.7414 0.7414 0.6152
S 0.9643 0.9643 0.2895

Entry 3:
Sb2TePtF | PBE | optimized geometry

Results
N(E_F) = 0.636 states/eV/atom
excess energy over the best structure of this formula in the dataset = 41 meV/atom

abc: 4.6236 4.6236 5.3619
angles: 90.00 90.00 90.00
Sites, in units of the cell vectors:
Sb 0.0000 0.5000 0.0000
Sb 0.5000 0.0000 0.0000
Te 0.0000 0.0000 0.5000
Pt 0.5000 0.5000 0.5000
F 0.0000 0.0000 0.0000

Entry 4:
RbAs2Br7 | PBE | optimized geometry

Results
N(E_F) = 0.136 states/eV/atom

abc: 10.7186 10.7186 4.3516
angles: 90.00 90.00 131.94
Sites, in units of the cell vectors:
Rb 0.0000 0.0000 0.0000
As 0.3648 0.6352 0.5000
As 0.6352 0.3648 0.5000
Br 0.0754 0.3312 0.5000
Br 0.2868 0.7132 0.0000
Br 0.3312 0.0754 0.5000
Br 0.5000 0.5000 0.5000
Br 0.6688 0.9246 0.5000
Br 0.7132 0.2868 0.0000
Br 0.9246 0.6688 0.5000

Short version: ΔE_f (raw) = 359 -1532 208 -527 meV per atom, in the order given.